No. 1
# CoTe2AsN

A geometry-optimized CoTe2AsN structure (PBEsol, Alexandria via LeMat-Bulk).

Structure (POSCAR):
```
CoTe2AsN
1.0
3.373 0.000 0.000
0.000 5.221 0.000
0.000 0.000 5.221
As Te Co N
1 2 1 1
direct
0.500 0.500 0.500 As
0.000 0.000 0.500 Te
0.000 0.500 0.000 Te
0.000 0.000 0.000 Co
0.500 0.000 0.000 N
```

Calculated values
Total moment   0.00 μB/atom
ΔE_f (raw)   0.276 eV/atom
Space group   P4/mmm, No. 123

No. 2
# NaCo2As3O10

A geometry-optimized NaCo2As3O10 structure (PBEsol, Alexandria via LeMat-Bulk).

Structure (POSCAR):
```
NaCo2As3O10
1.0
-0.942 -0.175 6.662
7.584 -1.588 0.091
-1.427 8.253 -2.852
Na As Co O
2 6 4 20
direct
0.260 0.281 0.454 Na
0.740 0.719 0.546 Na
0.992 0.625 0.207 As
0.008 0.375 0.793 As
0.549 0.740 0.836 As
0.451 0.260 0.164 As
0.239 0.928 0.629 As
0.761 0.072 0.371 As
0.892 0.167 0.063 Co
0.108 0.833 0.937 Co
0.549 0.356 0.876 Co
0.451 0.644 0.124 Co
0.158 0.706 0.120 O
0.842 0.294 0.880 O
0.425 0.808 0.982 O
0.575 0.192 0.018 O
0.728 0.612 0.084 O
0.272 0.388 0.916 O
0.390 0.127 0.643 O
0.610 0.873 0.357 O
0.399 0.764 0.637 O
0.601 0.236 0.363 O
0.519 0.502 0.730 O
0.481 0.498 0.270 O
0.021 0.430 0.250 O
0.979 0.570 0.750 O
0.091 0.931 0.750 O
0.909 0.069 0.250 O
0.800 0.885 0.893 O
0.200 0.115 0.107 O
0.033 0.809 0.414 O
0.967 0.191 0.586 O
```

Calculated values
Total moment   0.37 μB/atom
ΔE_f (raw)   -1.119 eV/atom
Space group   P-1, No. 2

No. 3
# Nb3CoAs

A geometry-optimized Nb3CoAs structure (PBEsol, Alexandria via LeMat-Bulk).

Structure (POSCAR):
```
Nb3CoAs
1.0
-2.694 3.236 2.015
0.077 -2.420 3.991
3.811 2.337 1.343
Nb Co As
3 1 1
direct
0.000 0.500 0.000 Nb
0.000 0.000 0.500 Nb
0.500 0.000 0.000 Nb
0.500 0.500 0.500 Co
0.000 0.000 0.000 As
```

Calculated values
Total moment   0.34 μB/atom
E_tot   -39.7 eV for the cell shown
Space group   Pm-3m, No. 221

No. 4
# NbCoAs2

A geometry-optimized NbCoAs2 structure (PBEsol, Alexandria via LeMat-Bulk).

Structure (POSCAR):
```
NbCoAs2
1.0
6.548 0.000 0.000
-3.274 4.195 1.350
0.000 3.289 5.662
Nb Co As
2 2 4
direct
0.750 0.500 0.750 Nb
0.000 0.000 0.000 Nb
0.250 0.500 0.250 Co
0.500 0.000 0.500 Co
0.177 0.750 0.875 As
0.573 0.750 0.375 As
0.375 0.250 0.177 As
0.875 0.250 0.573 As
```

Calculated values
Total moment   0.00 μB/atom
E_tot   -57.6 eV for the cell shown
Space group   I-42d, No. 122

No. 5
# NbCoAs3

A geometry-optimized NbCoAs3 structure (PBEsol, Alexandria via LeMat-Bulk).

Structure (POSCAR):
```
NbCoAs3
1.0
4.903 0.000 0.000
0.000 4.903 0.000
0.000 0.000 4.903
Nb Co As
1 1 3
direct
0.000 0.000 0.000 Nb
0.500 0.500 0.500 Co
0.000 0.500 0.000 As
0.000 0.000 0.500 As
0.500 0.000 0.000 As
```

Calculated values
Total moment   0.43 μB/atom
E_tot   -29.0 eV for the cell shown
Space group   Pm-3m, No. 221

No. 6
# NbCoAsSe2

A geometry-optimized NbCoAsSe2 structure (PBEsol, Alexandria via LeMat-Bulk).

Structure (POSCAR):
```
NbCoAsSe2
1.0
-3.301 1.807 -3.166
3.146 -0.745 -3.705
-1.872 -4.586 -0.667
Nb Co As Se
1 1 1 2
direct
0.000 0.000 0.000 Nb
0.500 0.500 0.500 Co
0.000 0.000 0.500 As
0.000 0.500 0.000 Se
0.500 0.000 0.000 Se
```

Calculated values
Total moment   0.54 μB/atom
ΔE_f (raw)   0.747 eV/atom
Space group   P4/mmm, No. 123

Copy entry 4 word for word.
# NbCoAs2

A geometry-optimized NbCoAs2 structure (PBEsol, Alexandria via LeMat-Bulk).

Structure (POSCAR):
```
NbCoAs2
1.0
6.548 0.000 0.000
-3.274 4.195 1.350
0.000 3.289 5.662
Nb Co As
2 2 4
direct
0.750 0.500 0.750 Nb
0.000 0.000 0.000 Nb
0.250 0.500 0.250 Co
0.500 0.000 0.500 Co
0.177 0.750 0.875 As
0.573 0.750 0.375 As
0.375 0.250 0.177 As
0.875 0.250 0.573 As
```

Calculated values
Total moment   0.00 μB/atom
E_tot   -57.6 eV for the cell shown
Space group   I-42d, No. 122